VASP calculation (PBE-GGA) on a geometry-optimized Ba2ZrMoBr structure.

As for the total magnetic moment: 0.00 μB per cell. Its space group is No. 123. Its uncorrected formation energy is 498 meV per atom.

Cell and atoms, written as CIF:
```
data_Ba2ZrMoBr
_cell_length_a 6.626
_cell_length_b 4.742
_cell_length_c 6.626
_cell_angle_alpha 90.00
_cell_angle_beta 90.00
_cell_angle_gamma 90.00
_space_group_name_H-M_alt 'P 1'
_space_group_IT_number 1
_space_group_name_Hall 'P 1'
loop_
_atom_site_label
_atom_site_fract_x
_atom_site_fract_y
_atom_site_fract_z
_atom_site_occupancy
Br1 0.500 0.500 0.500 1
Mo1 0.000 0.500 0.000 1
Ba1 0.500 0.000 0.000 1
Ba2 0.000 0.000 0.500 1
Zr1 0.000 0.000 0.000 1
```


VASP calculation (PBE-GGA) on a geometry-optimized Ba2BrN structure.

As for the total magnetic moment: 0.00 μB per cell. Its space group is No. 122. Its uncorrected formation energy is -1093 meV per atom.

Cell and atoms, written as CIF:
```
data_Ba2BrN
_cell_length_a 7.673
_cell_length_b 7.673
_cell_length_c 7.170
_cell_angle_alpha 57.65
_cell_angle_beta 57.65
_cell_angle_gamma 90.00
_space_group_name_H-M_alt 'P 1'
_space_group_IT_number 1
_space_group_name_Hall 'P 1'
loop_
_atom_site_label
_atom_site_fract_x
_atom_site_fract_y
_atom_site_fract_z
_atom_site_occupancy
Ba1 0.375 0.456 0.750 1
Ba2 0.875 0.794 0.750 1
Ba3 0.544 0.125 0.250 1
Ba4 0.206 0.625 0.250 1
N1 0.250 0.750 0.500 1
N2 0.500 0.500 0.000 1
Br1 0.750 0.250 0.500 1
Br2 0.000 0.000 0.000 1
```


VASP calculation (PBE-GGA) on a geometry-optimized Ba3Br3N structure.

As for the total magnetic moment: 0.28 μB per cell. Its space group is No. 12. Its uncorrected formation energy is -1633 meV per atom.

Cell and atoms, written as CIF:
```
data_Ba3Br3N
_cell_length_a 8.490
_cell_length_b 8.490
_cell_length_c 8.197
_cell_angle_alpha 96.34
_cell_angle_beta 96.34
_cell_angle_gamma 114.17
_space_group_name_H-M_alt 'P 1'
_space_group_IT_number 1
_space_group_name_Hall 'P 1'
loop_
_atom_site_label
_atom_site_fract_x
_atom_site_fract_y
_atom_site_fract_z
_atom_site_occupancy
Br1 0.171 0.829 0.500 1
Br2 0.745 0.255 0.000 1
Br3 0.389 0.389 0.645 1
Br4 0.255 0.745 0.000 1
Br5 0.829 0.171 0.500 1
Br6 0.611 0.611 0.355 1
Ba1 0.901 0.901 0.176 1
Ba2 0.099 0.099 0.824 1
Ba3 0.159 0.439 0.271 1
Ba4 0.841 0.561 0.729 1
Ba5 0.561 0.841 0.729 1
Ba6 0.439 0.159 0.271 1
N1 0.175 0.175 0.145 1
N2 0.825 0.825 0.855 1
```


Number 1: total DFT energy (no corrections) -4.482 eV per atom. Number 2: total DFT energy (no corrections) -4.554 eV per atom. Number 3: total DFT energy (no corrections) -4.363 eV per atom.